VASP calculation (PBE-GGA) on a relaxed structure of Er3Ga3Ag2.

Cell and atoms, written as POSCAR:
```
Er3Ga3Ag2
1.0
4.417 0.000 0.000
-2.208 5.367 0.000
0.000 0.000 14.516
Ga Er Ag
6 6 4
direct
0.395 0.790 0.542 Ga
0.360 0.720 0.250 Ga
0.395 0.790 0.958 Ga
0.640 0.280 0.750 Ga
0.605 0.210 0.042 Ga
0.605 0.210 0.458 Ga
0.355 0.709 0.750 Er
0.085 0.170 0.610 Er
0.915 0.830 0.110 Er
0.085 0.170 0.890 Er
0.645 0.291 0.250 Er
0.915 0.830 0.390 Er
0.209 0.419 0.402 Ag
0.791 0.581 0.902 Ag
0.209 0.419 0.098 Ag
0.791 0.581 0.598 Ag
```

Computed properties:
space group	Cmcm
energy of formation from the pure elements	-4.02	eV per formula unit
raw total energy	-4.06	eV per atom
calculated density	8.9	Mg/m³